# 1
# Zn5Co3

A relaxed Zn5Co3 crystal (GGA-PBE, the Alexandria database).

a b c (Å): 6.759 7.632 3.880
angles (deg): 90.00 90.00 90.00
Space group Cmmm (No. 65)
Symmetry-distinct sites (fractional):
Zn 0.000 0.000 0.000
Zn 0.226 0.500 0.500
Zn 0.250 0.250 0.000
Co 0.000 0.233 0.500
Co 0.000 0.500 0.000

Values from the calculation:
Mass density, g cm⁻³: 8.4
Energy of formation, meV per atom: -4.5
Offset from the most stable computed form, meV/atom: 1
Total DFT energy (no corrections), eV per atom: -3.4655

# 2
# ZnCo

A relaxed ZnCo crystal (GGA-PBE, the Alexandria database).

a b c (Å): 4.787 4.787 4.848
angles (deg): 90.00 90.00 90.00
Space group P4_2/mnm (No. 136)
Symmetry-distinct sites (fractional):
Zn 0.187 0.187 0.000
Co 0.177 0.177 0.500

Values from the calculation:
Mass density, g cm⁻³: 7.4
Energy of formation, meV per atom: 457.3
Total DFT energy (no corrections), eV per atom: -3.7326